Material: Tm2InRuC
Method: DFT, PBE
State: relaxed

```
Tm2InRuC
1.0
4.924 0.000 0.000
0.000 4.924 0.000
0.000 0.000 3.956
Tm In Ru C
2 1 1 1
Cartesian
0.000 2.462 0.000 Tm
2.462 0.000 0.000 Tm
0.000 0.000 1.978 In
2.462 2.462 1.978 Ru
2.462 2.462 0.000 C
```

Properties
Space-group type: P4/mmm, No. 123
Total energy, eV per atom: -6.476
Calculated volume, Å³/cell: 95.91

Material: MnSiTe2
Method: DFT, PBE
State: relaxed

```
MnSiTe2
1.0
4.584 0.000 0.000
0.000 2.732 3.604
0.000 -2.732 3.604
Mn Si Te
1 1 2
Cartesian
0.000 0.000 0.000 Mn
2.292 0.000 1.084 Si
0.000 0.000 2.890 Te
2.292 0.000 5.525 Te
```

Properties
Space-group type: Amm2, No. 38
Total energy, eV per atom: -5.052
Calculated volume, Å³/cell: 90.28

Material: CaH4Pt3
Method: DFT, PBE
State: relaxed

```
CaH4Pt3
1.0
5.483 0.000 0.000
0.000 5.483 0.000
0.000 0.000 5.483
Ca H Pt
2 8 6
Cartesian
0.000 0.000 0.000 Ca
2.741 2.741 2.741 Ca
1.371 1.371 1.371 H
1.371 1.371 4.112 H
1.371 4.112 1.371 H
1.371 4.112 4.112 H
4.112 1.371 1.371 H
4.112 1.371 4.112 H
4.112 4.112 1.371 H
4.112 4.112 4.112 H
0.000 1.371 2.741 Pt
0.000 4.112 2.741 Pt
1.371 2.741 0.000 Pt
2.741 0.000 1.371 Pt
2.741 0.000 4.112 Pt
4.112 2.741 0.000 Pt
```

Properties
Space-group type: Pm-3n, No. 223
Total energy, eV per atom: -4.469
Calculated volume, Å³/cell: 164.83